Record 1
Material: In2MoBr
Method: DFT, PBE
State: optimized geometry

The space group is I4/mmm (No. 139) and the conventional cell measures 4.290, 4.290 and 9.512 Å, with angles of 90.00, 90.00 and 90.00 degrees. Symmetry generates all atoms from In at (0.000, 0.500, 0.250), Mo at (0.000, 0.000, 0.000) and Br at (0.000, 0.000, 0.500).

The uncorrected formation energy comes out at 0.651 eV/atom. For the final energy, the calculation gives -3.84 eV per atom. Its excess energy over the best structure of this formula in the dataset is 490.2 meV/atom. The calculation puts the density of states at the Fermi level at 2.47 states/eV/f.u.



Record 2
Material: InMoBr
Method: DFT, PBE
State: optimized geometry

The space group is Fmm2 (No. 42) and the conventional cell measures 3.092, 5.645 and 16.561 Å, with angles of 90.00, 90.00 and 90.00 degrees. Symmetry generates all atoms from In at (0.000, 0.000, 0.000), Mo at (0.000, 0.000, 0.352) and Br at (0.000, 0.000, 0.730).

The uncorrected formation energy comes out at 0.483 eV/atom. For the final energy, the calculation gives -4.60 eV per atom. Its excess energy over the best structure of this formula in the dataset is 193.8 meV/atom. The calculation puts the density of states at the Fermi level at 2.84 states/eV/f.u.



- Among the records above, which one has the highest final energy?
  In2MoBr



- Which of these has the lowest excess energy over the best structure of this formula in the dataset?
  InMoBr



- Among the records above, which one has the lowest density of states at the Fermi level?
  In2MoBr



- Which value of density of states at the Fermi level does entry 2 give?
  2.84 states/eV/f.u.